{
  "formula": "Y3Tm2Os2",
  "functional": "PBE",
  "state": "relaxed",
  "dft_energy_ev_per_atom": -7.498,
  "lattice_angstrom": [[5.985, -1.973, 0.000], [5.985, 1.973, 0.000], [-3.061, 0.000, 7.601]],
  "species": ["Y", "Y", "Y", "Tm", "Tm", "Os", "Os"],
  "frac_coords": [[0.000, 0.000, 0.000], [0.125, 0.125, 0.433], [0.875, 0.875, 0.567], [0.331, 0.331, 0.179], [0.669, 0.669, 0.821], [0.321, 0.321, 0.788], [0.679, 0.679, 0.212]]
}

{
  "formula": "Y2TmOs2",
  "functional": "PBE",
  "state": "relaxed",
  "dft_energy_ev_per_atom": -8.188,
  "lattice_angstrom": [[4.849, -3.022, 0.000], [4.849, 3.022, 0.000], [-2.010, 0.000, 3.938]],
  "species": ["Y", "Y", "Tm", "Os", "Os"],
  "frac_coords": [[0.206, 0.206, 0.206], [0.794, 0.794, 0.794], [0.500, 0.500, 0.000], [0.205, 0.795, 0.500], [0.795, 0.205, 0.500]]
}

no.,V (Å³ per cell),DFT formation energy (eV/atom)
1,179.55,-0.24
2,115.39,-0.22